Record 1
First-principles (PBE) data for LaInS2O after structural relaxation, as listed in the Alexandria database.

## Properties
Formation energy without anion corrections (eV/atom): -1.850
Crystal system: tetragonal
SG: P4/nmm
Density (g/cm3): 5.183
Magnetic moment (μB/cell): 0.00

a b c (Å): 4.0523 4.0523 13.0264
angles (deg): 90.00 90.00 90.00
With the nearest neighbours (Å) after each atom.
Sites, in units of the cell vectors:
La 0.2500 0.2500 0.0963  4 O 2.38
La 0.7500 0.7500 0.9037  4 O 2.38
In 0.2500 0.2500 0.6075  2 S 2.39-2.51
In 0.7500 0.7500 0.3925  2 S 2.39-2.51
S 0.2500 0.2500 0.4148  1 In 2.51
S 0.2500 0.2500 0.7913  1 In 2.39
S 0.7500 0.7500 0.2087  1 In 2.39
S 0.7500 0.7500 0.5852  1 In 2.51
O 0.2500 0.7500 0.0000  4 La 2.38
O 0.7500 0.2500 0.0000  4 La 2.38

=====

Record 2
First-principles (PBE) data for La2InS2O2 after structural relaxation, as listed in the Alexandria database.

## Properties
N(E_F) (states/eV/cell): 2.33
Formation energy without anion corrections (eV/atom): -2.017
Crystal system: tetragonal
SG: I4/mmm
Density (g/cm3): 5.979
Magnetic moment (μB/cell): 0.00

a b c (Å): 8.1141 8.1141 8.1141
angles (deg): 149.68 149.68 43.40
With the nearest neighbours (Å) after each atom.
Sites, in units of the cell vectors:
La 0.1294 0.1294 0.0000  4 O 2.88, 5 S 2.91-3.09
La 0.8706 0.8706 0.0000  4 O 2.88, 5 S 2.91-3.09
In 0.5000 0.5000 0.0000  4 O 2.12
S 0.3223 0.3223 0.0000  1 In 2.68, 1 La 2.91
S 0.6777 0.6777 0.0000  1 In 2.68, 1 La 2.91
O 0.0000 0.5000 0.5000  2 In 2.12
O 0.5000 0.0000 0.5000  2 In 2.12

=====

Record 3
First-principles (PBE) data for LaIn2SbO after structural relaxation, as listed in the Alexandria database.

## Properties
N(E_F) (states/eV/cell): 14.21
Formation energy without anion corrections (eV/atom): 1.004
Crystal system: tetragonal
SG: P4/mmm
Density (g/cm3): 3.473
Magnetic moment (μB/cell): 0.00

a b c (Å): 6.4462 6.4462 5.8258
angles (deg): 90.00 90.00 90.00
With the nearest neighbours (Å) after each atom.
Sites, in units of the cell vectors:
La 0.0000 0.0000 0.0000  2 Sb 2.91, 4 In 3.22
In 0.0000 0.5000 0.0000  2 La 3.22
In 0.5000 0.0000 0.0000  2 La 3.22
Sb 0.0000 0.0000 0.5000  2 La 2.91
O 0.5000 0.5000 0.5000  8 In 4.34, 4 Sb 4.56

=====

Record 4
First-principles (PBE) data for LaIn2SbO8 after structural relaxation, as listed in the Alexandria database.

## Properties
N(E_F) (states/eV/cell): 2.26
Formation energy without anion corrections (eV/atom): -1.591
Crystal system: monoclinic
SG: P2/m
Density (g/cm3): 6.206
Magnetic moment (μB/cell): 1.22

a b c (Å): 4.7932 7.1186 4.8573
angles (deg): 90.00 93.44 90.00
With the nearest neighbours (Å) after each atom.
Sites, in units of the cell vectors:
La 0.0000 0.0000 0.0000  6 O 2.43-2.56
In 0.5000 0.2639 0.5000  6 O 2.11-2.29
In 0.5000 0.7361 0.5000  6 O 2.11-2.29
Sb 0.0000 0.5000 0.0000  6 O 1.99-2.07
O 0.2196 0.5000 0.6466  1 Sb 2.07, 2 In 2.29
O 0.2413 0.2879 0.1357  1 Sb 1.99, 1 In 2.11
O 0.2413 0.7121 0.1357  1 Sb 1.99, 1 In 2.11
O 0.2513 0.0000 0.5502  2 In 2.25, 2 O 2.43-2.46
O 0.7487 0.0000 0.4498  2 In 2.25, 2 O 2.43-2.46
O 0.7587 0.2879 0.8643  1 Sb 1.99, 1 In 2.11
O 0.7587 0.7121 0.8643  1 Sb 1.99, 1 In 2.11
O 0.7804 0.5000 0.3534  1 Sb 2.07, 2 In 2.29

=====

Repeat the first record exactly.
First-principles (PBE) data for LaInS2O after structural relaxation, as listed in the Alexandria database.

## Properties
Formation energy without anion corrections (eV/atom): -1.850
Crystal system: tetragonal
SG: P4/nmm
Density (g/cm3): 5.183
Magnetic moment (μB/cell): 0.00

a b c (Å): 4.0523 4.0523 13.0264
angles (deg): 90.00 90.00 90.00
With the nearest neighbours (Å) after each atom.
Sites, in units of the cell vectors:
La 0.2500 0.2500 0.0963  4 O 2.38
La 0.7500 0.7500 0.9037  4 O 2.38
In 0.2500 0.2500 0.6075  2 S 2.39-2.51
In 0.7500 0.7500 0.3925  2 S 2.39-2.51
S 0.2500 0.2500 0.4148  1 In 2.51
S 0.2500 0.2500 0.7913  1 In 2.39
S 0.7500 0.7500 0.2087  1 In 2.39
S 0.7500 0.7500 0.5852  1 In 2.51
O 0.2500 0.7500 0.0000  4 La 2.38
O 0.7500 0.2500 0.0000  4 La 2.38

=====

> Among the records above, which one has the highest formation energy without anion corrections?

LaIn2SbO